1.
{"formula": "Cu3Ag7", "functional": "PBE-GGA", "state": "relaxed", "cell": [[-2.8035, -0.1069, 0.6553], [0.6462, -1.0924, 2.5864], [1.0301, 17.9891, 7.3402]], "species": ["Cu", "Ag", "Ag", "Ag", "Cu", "Ag", "Ag", "Ag", "Ag", "Cu"], "fractional_positions": [[0.0000, 0.0000, 0.6883], [0.5000, 0.5000, 0.4055], [0.0000, 0.0000, 0.1090], [0.5000, 0.5000, 0.0000], [0.0000, 0.0000, 0.3117], [0.5000, 0.5000, 0.5945], [0.5000, 0.5000, 0.7816], [0.0000, 0.0000, 0.8910], [0.5000, 0.5000, 0.2184], [0.0000, 0.0000, 0.5000]], "ef_ev_per_fu": 0.61, "relative_energy_kj_per_mol_fu": 31.1, "energy_ev_per_cell": -30.31, "density_g_cm3": 9.72}

---

2.
{"formula": "Cu4Ag5", "functional": "PBE-GGA", "state": "relaxed", "cell": [[4.6281, -1.4174, 0.0000], [4.6281, 1.4174, 0.0000], [-4.5818, 0.0000, 10.4683]], "species": ["Cu", "Ag", "Ag", "Cu", "Ag", "Cu", "Cu", "Ag", "Ag"], "fractional_positions": [[0.6704, 0.6704, 0.8862], [0.6655, 0.6655, 0.2074], [0.0025, 0.0025, 0.3408], [0.6696, 0.6696, 0.5767], [0.3385, 0.3385, 0.0900], [0.3247, 0.3247, 0.7854], [0.0019, 0.0019, 0.9739], [0.3283, 0.3283, 0.4560], [0.9987, 0.9987, 0.6836]], "ef_ev_per_fu": 0.73, "relative_energy_kj_per_mol_fu": 37.3, "energy_ev_per_cell": -28.26, "density_g_cm3": 9.59}

---

3.
{"formula": "Cu3Ag2", "functional": "PBE-GGA", "state": "relaxed", "cell": [[4.4508, -1.8288, 0.0000], [4.4508, 1.8288, 0.0000], [-0.0047, 0.0000, 8.7935]], "species": ["Ag", "Cu", "Cu", "Ag", "Cu", "Cu", "Ag", "Cu", "Ag", "Cu"], "fractional_positions": [[0.3533, 0.3533, 0.5531], [0.8410, 0.8410, 0.0521], [0.1590, 0.1590, 0.9479], [0.6467, 0.6467, 0.4469], [0.2580, 0.2580, 0.2406], [0.7420, 0.7420, 0.7594], [0.5509, 0.5509, 0.1475], [0.0593, 0.0593, 0.6598], [0.4491, 0.4491, 0.8525], [0.9407, 0.9407, 0.3402]], "ef_ev_per_fu": 0.49, "relative_energy_kj_per_mol_fu": 26.9, "energy_ev_per_cell": -32.62, "density_g_cm3": 9.43}

---

4.
{"formula": "CuAg", "functional": "PBE-GGA", "state": "relaxed", "cell": [[11.2125, -1.4033, 0.0000], [11.2125, 1.4033, 0.0000], [-0.4215, 0.0000, 4.7780]], "species": ["Cu", "Ag", "Cu", "Ag", "Cu", "Cu", "Ag", "Ag", "Cu", "Ag"], "fractional_positions": [[0.7075, 0.7075, 0.9019], [0.1025, 0.1025, 0.7054], [0.4020, 0.4020, 0.8297], [0.4914, 0.4914, 0.4995], [0.3030, 0.3030, 0.0997], [0.9926, 0.9926, 0.9979], [0.8076, 0.8076, 0.6098], [0.2035, 0.2035, 0.3904], [0.8954, 0.8954, 0.2724], [0.5945, 0.5945, 0.1933]], "ef_ev_per_fu": 0.19, "energy_ev_per_cell": -31.74, "density_g_cm3": 9.47}

---

5.
{"formula": "Cu3Ag2", "functional": "PBE-GGA", "state": "relaxed", "cell": [[9.0510, -1.4123, 0.0000], [9.0510, 1.4123, 0.0000], [-0.9204, 0.0000, 5.5936]], "species": ["Ag", "Cu", "Cu", "Cu", "Ag", "Cu", "Cu", "Cu", "Ag", "Ag"], "fractional_positions": [[0.5936, 0.5936, 0.2843], [0.3976, 0.3976, 0.1823], [0.9905, 0.9905, 0.9864], [0.5950, 0.5950, 0.8058], [0.2088, 0.2088, 0.1008], [0.8094, 0.8094, 0.9061], [0.3945, 0.3945, 0.7159], [0.8143, 0.8143, 0.4060], [0.9898, 0.9898, 0.5074], [0.2066, 0.2066, 0.6050]], "ef_ev_per_fu": 0.42, "relative_energy_kj_per_mol_fu": 19.9, "energy_ev_per_cell": -32.77, "density_g_cm3": 9.44}

---

6.
{"formula": "Cu3Ag2", "functional": "PBE-GGA", "state": "relaxed", "cell": [[1.3855, 0.7999, 21.7115], [-1.3855, 0.7999, 21.7115], [0.0000, -1.5998, 21.7115]], "species": ["Cu", "Cu", "Ag", "Ag", "Ag", "Ag", "Cu", "Cu", "Cu", "Cu"], "fractional_positions": [[0.6000, 0.6000, 0.6000], [0.2970, 0.2970, 0.2970], [0.2024, 0.2024, 0.2024], [0.1042, 0.1042, 0.1042], [0.3991, 0.3991, 0.3991], [0.6943, 0.6943, 0.6943], [0.5013, 0.5013, 0.5013], [0.9936, 0.9936, 0.9936], [0.9034, 0.9034, 0.9034], [0.8048, 0.8048, 0.8048]], "ef_ev_per_fu": 0.49, "relative_energy_kj_per_mol_fu": 27.0, "energy_ev_per_cell": -32.62, "density_g_cm3": 9.35}

---

7.
{"formula": "Cu3Ag2", "functional": "PBE-GGA", "state": "relaxed", "cell": [[-4.0549, 0.2377, 5.9094], [-0.4249, -1.2852, -7.0419], [2.3911, -3.9585, 1.1356]], "species": ["Cu", "Cu", "Cu", "Ag", "Ag", "Ag", "Cu", "Cu", "Cu", "Ag"], "fractional_positions": [[0.7457, 0.2543, 0.7500], [0.8478, 0.1522, 0.2500], [0.1522, 0.8478, 0.7500], [0.3456, 0.6544, 0.7500], [0.0507, 0.9493, 0.2500], [0.6544, 0.3456, 0.2500], [0.4462, 0.5538, 0.2500], [0.5538, 0.4462, 0.7500], [0.2543, 0.7457, 0.2500], [0.9493, 0.0507, 0.7500]], "ef_ev_per_fu": 0.51, "relative_energy_kj_per_mol_fu": 29.1, "energy_ev_per_cell": -32.58, "density_g_cm3": 9.43}

---

8.
{"formula": "Cu3Ag5", "functional": "PBE-GGA", "state": "relaxed", "cell": [[-1.9380, -0.5739, -2.0109], [-1.6177, -1.3260, 1.9375], [-7.1318, 13.2276, 3.0986]], "species": ["Ag", "Ag", "Cu", "Cu", "Ag", "Cu", "Ag", "Ag"], "fractional_positions": [[0.0000, 0.0000, 0.3799], [0.0000, 0.0000, 0.0990], [0.0000, 0.0000, 0.8813], [0.5000, 0.5000, 0.9784], [0.5000, 0.5000, 0.2397], [0.0000, 0.0000, 0.6404], [0.5000, 0.5000, 0.5206], [0.5000, 0.5000, 0.7605]], "ef_ev_per_fu": 0.47, "relative_energy_kj_per_mol_fu": 16.7, "energy_ev_per_cell": -24.80, "density_g_cm3": 9.72}

---

9.
{"formula": "Cu3Ag2", "functional": "PBE-GGA", "state": "relaxed", "cell": [[2.7650, 0.0000, 0.0000], [0.0000, 2.7650, 0.0000], [0.0000, 0.0000, 18.6248]], "species": ["Ag", "Cu", "Cu", "Cu", "Ag", "Cu", "Ag", "Cu", "Ag", "Cu"], "fractional_positions": [[0.0000, 0.5000, 0.2655], [0.5000, 0.0000, 0.3708], [0.5000, 0.0000, 0.1618], [0.5000, 0.0000, 0.5431], [0.0000, 0.5000, 0.0594], [0.0000, 0.5000, 0.4569], [0.5000, 0.0000, 0.9406], [0.0000, 0.5000, 0.8382], [0.5000, 0.0000, 0.7345], [0.0000, 0.5000, 0.6292]], "ef_ev_per_fu": 0.38, "relative_energy_kj_per_mol_fu": 16.3, "energy_ev_per_cell": -32.84, "density_g_cm3": 9.48}

---

10.
{"formula": "CuAg", "functional": "PBE-GGA", "state": "relaxed", "cell": [[11.1330, -1.4074, 0.0000], [11.1330, 1.4074, 0.0000], [-0.3896, 0.0000, 4.8026]], "species": ["Ag", "Ag", "Ag", "Cu", "Cu", "Cu", "Ag", "Cu", "Cu", "Ag"], "fractional_positions": [[0.7020, 0.7020, 0.8995], [0.0910, 0.0910, 0.6968], [0.3102, 0.3102, 0.1026], [0.9901, 0.9901, 0.9957], [0.9052, 0.9052, 0.3150], [0.4921, 0.4921, 0.4980], [0.5912, 0.5912, 0.1970], [0.4027, 0.4027, 0.7867], [0.8104, 0.8104, 0.6037], [0.2051, 0.2051, 0.4050]], "ef_ev_per_fu": 0.19, "energy_ev_per_cell": -31.76, "density_g_cm3": 9.46}

---

Please write out number 9 again, unchanged.
{"formula": "Cu3Ag2", "functional": "PBE-GGA", "state": "relaxed", "cell": [[2.7650, 0.0000, 0.0000], [0.0000, 2.7650, 0.0000], [0.0000, 0.0000, 18.6248]], "species": ["Ag", "Cu", "Cu", "Cu", "Ag", "Cu", "Ag", "Cu", "Ag", "Cu"], "fractional_positions": [[0.0000, 0.5000, 0.2655], [0.5000, 0.0000, 0.3708], [0.5000, 0.0000, 0.1618], [0.5000, 0.0000, 0.5431], [0.0000, 0.5000, 0.0594], [0.0000, 0.5000, 0.4569], [0.5000, 0.0000, 0.9406], [0.0000, 0.5000, 0.8382], [0.5000, 0.0000, 0.7345], [0.0000, 0.5000, 0.6292]], "ef_ev_per_fu": 0.38, "relative_energy_kj_per_mol_fu": 16.3, "energy_ev_per_cell": -32.84, "density_g_cm3": 9.48}

---

Please write out number 2 again, unchanged.
{"formula": "Cu4Ag5", "functional": "PBE-GGA", "state": "relaxed", "cell": [[4.6281, -1.4174, 0.0000], [4.6281, 1.4174, 0.0000], [-4.5818, 0.0000, 10.4683]], "species": ["Cu", "Ag", "Ag", "Cu", "Ag", "Cu", "Cu", "Ag", "Ag"], "fractional_positions": [[0.6704, 0.6704, 0.8862], [0.6655, 0.6655, 0.2074], [0.0025, 0.0025, 0.3408], [0.6696, 0.6696, 0.5767], [0.3385, 0.3385, 0.0900], [0.3247, 0.3247, 0.7854], [0.0019, 0.0019, 0.9739], [0.3283, 0.3283, 0.4560], [0.9987, 0.9987, 0.6836]], "ef_ev_per_fu": 0.73, "relative_energy_kj_per_mol_fu": 37.3, "energy_ev_per_cell": -28.26, "density_g_cm3": 9.59}